A geometry-optimized SrMnHg2Te structure. Source: Alexandria, functional PBE-GGA.

a = 5.2225 Å, b = 5.2225 Å, c = 5.3225 Å
α = 90.00°, β = 90.00°, γ = 90.00°
Space group P4/mmm (No. 123)
Symmetry-distinct sites (fractional):
Sr 0.0000 0.0000 0.0000 [1 per cell]
Mn 0.5000 0.5000 0.5000 [1 per cell]
Hg 0.0000 0.5000 0.5000 [2 per cell]
Te 0.5000 0.5000 0.0000 [1 per cell]

## Properties
Energy relative to the elements, uncorrected: -0.28 eV per atom